# 1
ScGaSi: optimized geometry, PBE.

## Properties
- Space group: No. 156
- Formation energy (no corrections): -0.468 eV/atom

a = 3.681 Å, b = 4.067 Å, c = 4.067 Å
α = 120.00°, β = 90.00°, γ = 90.00°
Fractional coordinates of all 3 atoms:
Ga  0.181  0.333  0.667
Sc  0.666  0.667  0.333
Si  0.153  0.000  0.000

# 2
TmScGaSi: optimized geometry, PBE.

## Properties
- Space group: No. 38
- Formation energy (no corrections): -0.720 eV/atom

a = 4.135 Å, b = 3.850 Å, c = 5.561 Å
α = 90.00°, β = 111.83°, γ = 90.00°
Fractional coordinates of all 4 atoms:
Ga  0.577  0.500  0.154
Sc  0.862  0.500  0.724
Tm  0.141  0.000  0.283
Si  0.420  0.000  0.840

# 3
ScGaSi2W: optimized geometry, PBE.

## Properties
- Space group: No. 123
- Formation energy (no corrections): 1.558 eV/atom

a = 4.937 Å, b = 4.937 Å, c = 4.819 Å
α = 90.00°, β = 90.00°, γ = 90.00°
Fractional coordinates of all 5 atoms:
W  0.000  0.000  0.500
Ga  0.500  0.500  0.500
Sc  0.000  0.000  0.000
Si  0.500  0.000  0.000
Si  0.000  0.500  0.000

# 4
ScZnGaSi: optimized geometry, PBE.

## Properties
- Space group: No. 47
- Formation energy (no corrections): -0.400 eV/atom

a = 3.915 Å, b = 4.015 Å, c = 4.176 Å
α = 90.00°, β = 90.00°, γ = 90.00°
Fractional coordinates of all 4 atoms:
Sc  0.500  0.500  0.000
Ga  0.000  0.500  0.500
Si  0.000  0.000  0.000
Zn  0.500  0.000  0.500

# 5
SmScGa6: optimized geometry, PBE.

## Properties
- Space group: No. 187
- Energy relative to the elements: -3.9 eV per formula unit

a = 4.578 Å, b = 6.195 Å, c = 6.195 Å
α = 119.97°, β = 90.00°, γ = 90.00°
Fractional coordinates of all 8 atoms:
Ga  0.000  0.041  0.395
Ga  0.500  0.904  0.559
Ga  0.000  0.604  0.396
Sc  0.000  0.083  0.917
Ga  0.500  0.905  0.095
Ga  0.000  0.605  0.959
Sm  0.500  0.416  0.584
Ga  0.500  0.441  0.096

# 6
SmScGa: optimized geometry, PBE.

## Properties
- Space group: No. 46
- Energy relative to the elements: -1.3 eV per formula unit

a = 7.696 Å, b = 8.687 Å, c = 8.837 Å
α = 119.44°, β = 115.81°, γ = 90.00°
Fractional coordinates of all 18 atoms:
Ga  0.087  0.833  0.667
Ga  0.753  0.250  0.999
Ga  0.420  0.667  0.333
Sc  0.010  0.000  0.000
Sm  0.350  0.250  0.000
Sc  0.496  0.871  0.743
Sm  0.753  0.549  0.597
Ga  0.420  0.167  0.333
Sc  0.496  0.372  0.743
Sc  0.010  0.500  0.000
Ga  0.087  0.333  0.667
Sm  0.753  0.048  0.596
Sm  0.350  0.750  0.000
Sm  0.156  0.451  0.403
Sc  0.753  0.628  0.257
Sm  0.157  0.952  0.404
Ga  0.754  0.750  0.001
Sc  0.753  0.129  0.257

# 7
Sm5ScGa4: optimized geometry, PBE.

## Properties
- Space group: No. 12
- Energy relative to the elements: -3.6 eV per formula unit

a = 4.169 Å, b = 8.141 Å, c = 8.352 Å
α = 79.41°, β = 104.45°, γ = 90.00°
Fractional coordinates of all 10 atoms:
Sm  0.176  0.421  0.351
Sc  0.500  0.000  0.000
Ga  0.023  0.226  0.046
Sm  0.824  0.579  0.649
Ga  0.638  0.166  0.276
Sm  0.831  0.119  0.662
Sm  0.500  0.500  0.000
Sm  0.169  0.881  0.338
Ga  0.362  0.834  0.724
Ga  0.977  0.774  0.954

# 8
Sm2Sc3Ga2: optimized geometry, PBE.

## Properties
- Space group: No. 12
- Energy relative to the elements: -2.4 eV per formula unit

a = 4.340 Å, b = 6.076 Å, c = 7.602 Å
α = 108.85°, β = 90.00°, γ = 110.93°
Fractional coordinates of all 7 atoms:
Sc  0.369  0.738  0.558
Sm  0.144  0.287  0.792
Sc  0.631  0.262  0.442
Sc  0.500  0.000  0.000
Ga  0.844  0.687  0.782
Sm  0.856  0.713  0.208
Ga  0.156  0.313  0.218

# 9
Sm4ScGa2: optimized geometry, PBE.

## Properties
- Space group: No. 166
- Energy relative to the elements: -0.7 eV per formula unit

a = 5.281 Å, b = 5.281 Å, c = 9.198 Å
α = 73.32°, β = 73.32°, γ = 60.00°
Fractional coordinates of all 7 atoms:
Sc  0.500  0.500  0.500
Sm  0.719  0.719  0.842
Sm  0.124  0.124  0.629
Sm  0.876  0.876  0.371
Ga  0.603  0.603  0.191
Ga  0.397  0.397  0.809
Sm  0.281  0.281  0.158

# 10
SmSc4Ga4: optimized geometry, PBE.

## Properties
- Space group: No. 86
- Energy relative to the elements: -3.0 eV per formula unit

a = 5.513 Å, b = 8.920 Å, c = 8.920 Å
α = 90.00°, β = 90.00°, γ = 90.00°
Fractional coordinates of all 18 atoms:
Ga  0.388  0.645  0.791
Sc  0.617  0.102  0.341
Sc  0.383  0.659  0.102
Sc  0.383  0.341  0.898
Sc  0.617  0.898  0.659
Sc  0.117  0.841  0.398
Ga  0.388  0.355  0.209
Ga  0.612  0.791  0.355
Ga  0.612  0.209  0.645
Ga  0.112  0.855  0.709
Sc  0.883  0.602  0.841
Sm  0.000  0.000  0.000
Sc  0.883  0.398  0.159
Sm  0.500  0.500  0.500
Ga  0.888  0.709  0.145
Ga  0.112  0.145  0.291
Ga  0.888  0.291  0.855
Sc  0.117  0.159  0.602